Li2ZrNb: optimized geometry, GGA-PBE.

a = 7.508 Å, b = 7.508 Å, c = 5.907 Å
α = 50.54°, β = 50.54°, γ = 90.00°
Fractional coordinates of all 8 atoms:
Nb  0.000  0.000  0.000
Nb  0.750  0.250  0.500
Zr  0.500  0.500  0.000
Zr  0.250  0.750  0.500
Li  0.631  0.125  0.250
Li  0.119  0.625  0.250
Li  0.375  0.369  0.750
Li  0.875  0.881  0.750

Values from the calculation:
* Fermi-level density of states: 6.99 states/eV per cell
* relative energy among the computed polymorphs: 148 meV per atom
* magnetization: 0.0 μB/cell
* energy: -4.99 eV/atom
* V: 146.0 Å³/cell